Computed, not measured: crystalline MgNi4O8 at its relaxed geometry at the PBE with a Hubbard U level of DFT.

Cell lengths 5.9372, 5.9372, 5.9372 Å; angles 57.35, 57.35, 57.35 degrees
Last column: nearest neighbours and their distance in Å.
Positions (direct):
Mg  0.0000  0.0000  0.0000  6 O 2.10
Ni  0.0000  0.0000  0.5000  6 O 1.88-1.90
Ni  0.0000  0.5000  0.0000  6 O 1.88-1.90
Ni  0.5000  0.0000  0.0000  6 O 1.88-1.90
Ni  0.5000  0.5000  0.5000  6 O 2.04
O  0.2095  0.7481  0.7481  3 Ni 1.88-2.04, 1 Mg 2.10
O  0.2308  0.2308  0.2308  3 Ni 1.90
O  0.2519  0.2519  0.7905  3 Ni 1.88-2.04, 1 Mg 2.10
O  0.2519  0.7905  0.2519  3 Ni 1.88-2.04, 1 Mg 2.10
O  0.7481  0.2095  0.7481  3 Ni 1.88-2.04, 1 Mg 2.10
O  0.7481  0.7481  0.2095  3 Ni 1.88-2.04, 1 Mg 2.10
O  0.7692  0.7692  0.7692  3 Ni 1.90
O  0.7905  0.2519  0.2519  3 Ni 1.88-2.04, 1 Mg 2.10

For the spin magnetization, the calculation gives 0.154 μB/atom. For the energy above the most stable polymorph in this dataset, the calculation gives 0.000 eV/atom. As for the total energy: -4.8910 eV per atom. As for the space group: R-3m, No. 166.